DFT (PBE) results for a geometry-optimized BaLa3Si structure.

abc: 5.785 5.785 5.785
angles: 90.00 90.00 90.00
Element x y z (fractional)
La 0.500 0.000 0.000
La 0.000 0.500 0.000
La 0.000 0.000 0.500
Ba 0.000 0.000 0.000
Si 0.500 0.500 0.500

uncorrected formation energy: 1.02 eV/atom
space group: No. 221
electronic total energy: -3.409 eV per atom
magnetization: 0.00 μB per atom